Below is crystalline Ba2TiAu2 at its relaxed geometry, with properties calculated at the GGA-PBE level.

energy relative to the elements: -0.971 eV/f.u.
energy: -38.53 eV/cell
DOS at the Fermi energy: 1.418 states/eV per atom

Cell: 7.828 7.828 5.026 Å, 90.00 90.00 90.00°
Atoms (fractional coordinates):
Ba: 0.170 0.330 0.000
Ba: 0.330 0.830 0.000
Ba: 0.670 0.170 0.000
Ba: 0.830 0.670 0.000
Ti: 0.000 0.000 0.500
Ti: 0.500 0.500 0.500
Au: 0.142 0.642 0.500
Au: 0.358 0.142 0.500
Au: 0.642 0.858 0.500
Au: 0.858 0.358 0.500